Below is a relaxed structure of MoPd6Pt3, with properties calculated at the GGA-PBE level.

M_tot: 0.0 μB per formula unit
DFT formation energy: 413 meV per atom
Polymorph energy (0 for the lowest one): 362 meV/atom

a = 2.731 Å, b = 9.590 Å, c = 9.590 Å
α = 119.11°, β = 95.45°, γ = 95.45°
Fractional coordinates of all 10 atoms:
1 Mo 0.532 0.000 0.000
2 Pd 0.360 0.000 0.719
3 Pd 0.360 0.719 0.000
4 Pd 0.727 0.000 0.477
5 Pd 0.727 0.477 0.000
6 Pd 0.250 0.523 0.523
7 Pd 0.640 0.281 0.281
8 Pt 0.100 0.235 0.000
9 Pt 0.100 0.000 0.235
10 Pt 0.865 0.765 0.765